Entry 1:
Compound: Ca2Ga2NiPd5
Source: Alexandria via LeMat-Bulk
Functional: PBE
Structure: relaxed

Cell: 3.637 9.808 9.808 Å, 90.00 90.00 90.00°
Site moments in Bohr magnetons follow the coordinates.
Positions (direct):
Ca: 0.000 0.325 0.825  0.00
Ca: 0.000 0.175 0.325  0.00
Ca: 0.000 0.825 0.675  0.00
Ca: 0.000 0.675 0.175  0.00
Ga: 0.000 0.374 0.126  0.00
Ga: 0.000 0.626 0.874  0.00
Ga: 0.000 0.126 0.626  0.00
Ga: 0.000 0.874 0.374  0.00
Pd: 0.500 0.301 0.564  0.00
Pd: 0.500 0.801 0.936  0.00
Pd: 0.500 0.436 0.301  0.00
Pd: 0.500 0.000 0.500  0.00
Pd: 0.500 0.199 0.064  0.00
Pd: 0.500 0.936 0.199  0.00
Pd: 0.500 0.699 0.436  0.00
Pd: 0.500 0.564 0.699  0.00
Pd: 0.500 0.500 0.000  0.00
Pd: 0.500 0.064 0.801  0.00
Ni: 0.000 0.000 0.000  0.10
Ni: 0.000 0.500 0.500  0.10

## Properties
ρ = 7.69 g/cm3
formation energy = -52 kJ/mol of atoms
crystal system = tetragonal
DOS at the Fermi energy = 0.8262 states/eV per atom
magnetization = 0.01 μB per atom

=====

Entry 2:
Compound: TbY7Tm5
Source: Alexandria via LeMat-Bulk
Functional: PBE
Structure: relaxed

Cell: 6.634 8.678 8.678 Å, 80.23 67.53 67.53°
Positions (direct):
Y: 0.521 0.148 0.809
Y: 0.020 0.305 0.655
Y: 0.264 0.736 0.736
Y: 0.268 0.232 0.232
Y: 0.521 0.809 0.148
Y: 0.020 0.655 0.305
Y: 0.576 0.424 0.424
Tm: 0.003 0.002 0.459
Tm: 0.003 0.459 0.002
Tm: 0.536 0.002 0.459
Tm: 0.536 0.459 0.002
Tm: 0.775 0.725 0.725
Tb: 0.958 0.042 0.042

## Properties
ρ = 6.33 g/cm3
formation energy = 24 kJ/mol of atoms
crystal system = orthorhombic
DOS at the Fermi energy = 2.1856 states/eV per atom
magnetization = 0.00 μB per atom

=====

Entry 3:
Compound: CsRb2Ag
Source: Alexandria via LeMat-Bulk
Functional: PBE
Structure: relaxed

Cell: 12.195 12.195 9.462 Å, 49.88 49.88 90.00°
Positions (direct):
Cs: 0.750 0.250 0.500
Cs: 0.000 0.000 0.000
Rb: 0.234 0.625 0.250
Rb: 0.375 0.484 0.750
Rb: 0.516 0.125 0.250
Rb: 0.875 0.766 0.750
Ag: 0.500 0.500 0.000
Ag: 0.250 0.750 0.500

## Properties
ρ = 2.36 g/cm3
formation energy = 8 kJ/mol of atoms
energy above the lowest structure with this stoichiometry = 41 meV per atom
crystal system = tetragonal
DOS at the Fermi energy = 0.2689 states/eV per atom
magnetization = 0.00 μB per atom

=====

Entry 4:
Compound: HfTlGe3
Source: Alexandria via LeMat-Bulk
Functional: PBE
Structure: relaxed

Cell: 5.177 5.177 5.177 Å, 90.00 90.00 90.00°
Positions (direct):
Ge: 0.000 0.500 0.000
Ge: 0.500 0.000 0.000
Ge: 0.000 0.000 0.500
Hf: 0.500 0.500 0.500
Tl: 0.000 0.000 0.000

## Properties
ρ = 7.19 g/cm3
formation energy = 125 kJ/mol of atoms
energy above the lowest structure with this stoichiometry = 1027 meV per atom
crystal system = cubic
DOS at the Fermi energy = 0.7759 states/eV per atom
magnetization = 0.00 μB per atom

=====

Entry 5:
Compound: NdSi3IrOs
Source: Alexandria via LeMat-Bulk
Functional: PBE
Structure: relaxed

Cell: 5.644 6.294 7.463 Å, 114.94 90.00 90.00°
Positions (direct):
Si: 0.250 0.230 0.460
Si: 0.500 0.714 0.000
Si: 0.500 0.286 0.000
Si: 0.750 0.770 0.540
Si: 0.000 0.286 0.000
Si: 0.000 0.714 0.000
Nd: 0.750 0.190 0.381
Nd: 0.250 0.810 0.619
Os: 0.750 0.935 0.871
Os: 0.250 0.065 0.129
Ir: 0.250 0.396 0.791
Ir: 0.750 0.604 0.209

## Properties
ρ = 8.44 g/cm3
uncorrected formation energy = -2.84 eV per formula unit
crystal system = orthorhombic
DOS at the Fermi energy = 0.3574 states/eV per atom
magnetization = 0.00 μB per atom

=====

Entry 6:
Compound: SrMgW2
Source: Alexandria via LeMat-Bulk
Functional: PBE
Structure: relaxed

Cell: 10.839 10.839 10.839 Å, 15.54 15.54 15.54°
Positions (direct):
Sr: 0.750 0.750 0.750
W: 0.993 0.993 0.993
W: 0.507 0.507 0.507
Mg: 0.250 0.250 0.250

## Properties
ρ = 10.00 g/cm3
formation energy = 105 kJ/mol of atoms
crystal system = trigonal
DOS at the Fermi energy = 1.0661 states/eV per atom
magnetization = 0.00 μB per atom

=====

Entry 7:
Compound: Al2HgPd2
Source: Alexandria via LeMat-Bulk
Functional: PBE
Structure: relaxed

Cell: 7.325 7.325 3.049 Å, 90.00 90.00 90.00°
Positions (direct):
Al: 0.358 0.858 0.000
Al: 0.142 0.358 0.000
Al: 0.858 0.642 0.000
Al: 0.642 0.142 0.000
Pd: 0.148 0.648 0.500
Pd: 0.852 0.352 0.500
Pd: 0.352 0.148 0.500
Pd: 0.648 0.852 0.500
Hg: 0.500 0.500 0.000
Hg: 0.000 0.000 0.000

## Properties
ρ = 9.49 g/cm3
formation energy = -51 kJ/mol of atoms
energy above the lowest structure with this stoichiometry = 40 meV per atom
crystal system = tetragonal
DOS at the Fermi energy = 0.2129 states/eV per atom
magnetization = 0.00 μB per atom

=====

Entry 8:
Compound: Y3TmCo
Source: Alexandria via LeMat-Bulk
Functional: PBE
Structure: relaxed

Cell: 6.064 6.343 7.477 Å, 90.00 90.00 90.00°
Positions (direct):
Y: 0.425 0.853 0.950
Y: 0.925 0.500 0.450
Y: 0.425 0.853 0.452
Y: 0.925 0.500 0.952
Y: 0.927 0.022 0.701
Y: 0.427 0.330 0.201
Co: 0.176 0.673 0.701
Co: 0.676 0.679 0.201
Tm: 0.425 0.336 0.701
Tm: 0.925 0.016 0.201

## Properties
ρ = 5.71 g/cm3
formation energy = -4 kJ/mol of atoms
energy above the lowest structure with this stoichiometry = 0 meV per atom
crystal system = orthorhombic
DOS at the Fermi energy = 1.4049 states/eV per atom
magnetization = 0.00 μB per atom

=====

Entry 9:
Compound: Rb2VCrRu
Source: Alexandria via LeMat-Bulk
Functional: PBE
Structure: relaxed

Cell: 6.774 6.774 4.397 Å, 90.00 90.00 90.00°
Site moments in Bohr magnetons follow the coordinates.
Positions (direct):
Ru: 0.000 0.000 0.500  -0.92
V: 0.000 0.000 0.000  2.10
Rb: 0.500 0.000 0.000  0.02
Rb: 0.000 0.500 0.000  0.02
Cr: 0.500 0.500 0.500  0.01

## Properties
ρ = 3.09 g/cm3
formation energy = 199 kJ/mol of atoms
crystal system = tetragonal
DOS at the Fermi energy = 1.9552 states/eV per atom
magnetization = 0.37 μB per atom